This record from Alexandria describes CrTc2Br after structural relaxation. The functional is PBE.

Relative energy among the computed polymorphs in meV per atom: 273
Formation energy from raw total energies in kJ/mol of formula units: 285
Energy in eV per atom: -7.27
D(E_F) in states/eV/cell: 6.9

abc: 2.946 4.380 8.951
angles: 90.00 90.00 90.00
Space group Imm2 (No. 44)
Unique sites:
Cr (0.000, 0.000, 0.000) x2
Tc (0.000, 0.000, 0.533) x2
Tc (0.000, 0.500, 0.769) x2
Br (0.000, 0.500, 0.276) x2